Entry 1:
Li6Mg2TlH, optimized geometry, DFT GGA-PBE; space-group type = P-1
1.0
5.484 0.000 0.000
2.707 4.771 0.000
2.488 1.501 6.796
Li Mg Tl H
6 2 1 1
direct
0.225 0.251 0.190
0.240 0.738 0.893
0.265 0.258 0.820
0.735 0.742 0.180
0.760 0.262 0.107
0.775 0.749 0.810
0.189 0.691 0.394
0.811 0.309 0.606
0.500 0.000 0.500
0.000 0.500 0.000



Entry 2:
Cs3Ce3AuS8, optimized geometry, DFT GGA-PBE; space-group type = C2/m
1.0
6.845 -4.357 0.000
6.845 4.357 0.000
-4.212 0.000 7.992
Cs Ce Au S
3 3 1 8
direct
0.000 0.000 0.000
0.000 0.500 0.000
0.500 0.000 0.000
0.000 0.500 0.500
0.500 0.000 0.500
0.500 0.500 0.500
0.000 0.000 0.500
0.197 0.197 0.653
0.260 0.670 0.698
0.272 0.272 0.316
0.330 0.740 0.302
0.670 0.260 0.698
0.728 0.728 0.684
0.740 0.330 0.302
0.803 0.803 0.347



Entry 3:
Cu2Br, optimized geometry, DFT GGA-PBE; space-group type = Fd-3m; distance to the lowest polymorph of the same formula = 423 meV/atom
1.0
0.000 3.682 3.682
3.682 0.000 3.682
3.682 3.682 0.000
Cu Br
4 2
direct
0.000 0.000 0.000
0.000 0.000 0.500
0.000 0.500 0.000
0.500 0.000 0.000
0.375 0.375 0.375
0.625 0.625 0.625



Entry 4:
Cu2SiNi5, optimized geometry, DFT GGA-PBE; space-group type = Immm; distance to the lowest polymorph of the same formula = 0 meV/atom
1.0
-1.269 2.471 7.275
1.269 -2.471 7.275
1.269 2.471 -7.275
Cu Si Ni
2 1 5
direct
0.237 0.237 0.000
0.763 0.763 0.000
0.500 0.000 0.500
0.000 0.000 0.000
0.142 0.386 0.756
0.369 0.614 0.756
0.631 0.386 0.244
0.858 0.614 0.244



Entry 5:
LiCaBeF5, optimized geometry, DFT GGA-PBE; space-group type = C2/c
1.0
3.291 -4.383 0.000
3.291 4.383 0.000
-2.136 0.000 6.290
Li Ca Be F
2 2 2 10
direct
0.000 0.000 0.000
0.000 0.000 0.500
0.338 0.662 0.750
0.662 0.338 0.250
0.315 0.685 0.250
0.685 0.315 0.750
0.085 0.657 0.360
0.090 0.910 0.750
0.278 0.432 0.073
0.343 0.915 0.140
0.432 0.278 0.573
0.568 0.722 0.427
0.657 0.085 0.860
0.722 0.568 0.927
0.910 0.090 0.250
0.915 0.343 0.640



Entry 6:
Pm6TlRh5, optimized geometry, DFT GGA-PBE; energy relative to the elements = -596.0 meV per atom; space-group type = P2/m
1.0
5.012 0.000 0.000
0.000 7.292 0.000
-2.497 0.000 7.527
Pm Tl Rh
6 1 5
direct
0.000 0.232 0.000
0.000 0.768 0.000
0.327 0.244 0.654
0.327 0.756 0.654
0.673 0.244 0.346
0.673 0.756 0.346
0.500 0.500 0.000
0.162 0.500 0.324
0.168 0.000 0.335
0.500 0.000 0.000
0.832 0.000 0.665
0.838 0.500 0.676



Entry 7:
ZrCoOs2, optimized geometry, DFT GGA-PBE; energy relative to the elements = 127.5 meV per atom; space-group type = Pmmm; distance to the lowest polymorph of the same formula = 162 meV/atom
1.0
3.047 0.000 0.000
0.000 4.466 0.000
0.000 0.000 4.495
Zr Co Os
1 1 2
direct
0.000 0.000 0.000
0.500 0.000 0.500
0.000 0.500 0.500
0.500 0.500 0.000



Entry 8:
MnCd2In, optimized geometry, DFT GGA-PBE; energy relative to the elements = 210.4 meV per atom; space-group type = I4/mmm
1.0
-2.123 2.123 4.572
2.123 -2.123 4.572
2.123 2.123 -4.572
Mn Cd In
1 2 1
direct
0.000 0.000 0.000
0.250 0.750 0.500
0.750 0.250 0.500
0.500 0.500 0.000



Entry 9:
Ac3Zn7Pt4, optimized geometry, DFT GGA-PBE; energy relative to the elements = -693.5 meV per atom; space-group type = C2/m
1.0
8.172 -2.149 0.000
8.172 2.149 0.000
-4.811 0.000 8.348
Ac Zn Pt
3 7 4
direct
0.000 0.000 0.000
0.294 0.294 0.315
0.706 0.706 0.685
0.000 0.000 0.500
0.113 0.113 0.386
0.318 0.318 0.987
0.493 0.493 0.303
0.507 0.507 0.697
0.682 0.682 0.013
0.887 0.887 0.614
0.118 0.118 0.819
0.361 0.361 0.747
0.639 0.639 0.253
0.882 0.882 0.181



Entry 10:
HgPd2Au8, optimized geometry, DFT GGA-PBE; energy relative to the elements = -31.6 meV per atom; space-group type = C2/m
1.0
7.423 -2.080 0.000
7.423 2.080 0.000
-1.859 0.000 6.346
Hg Pd Au
1 2 8
direct
0.000 0.000 0.000
0.272 0.272 0.363
0.728 0.728 0.637
0.095 0.095 0.460
0.184 0.184 0.911
0.360 0.360 0.806
0.452 0.452 0.276
0.548 0.548 0.724
0.640 0.640 0.194
0.816 0.816 0.089
0.905 0.905 0.540



Entry 11:
Sr3La, optimized geometry, DFT GGA-PBE; energy relative to the elements = 167.1 meV per atom; space-group type = I4/mmm; distance to the lowest polymorph of the same formula = 73 meV/atom
1.0
-2.915 2.915 5.763
2.915 -2.915 5.763
2.915 2.915 -5.763
Sr La
3 1
direct
0.000 0.000 0.000
0.250 0.750 0.500
0.750 0.250 0.500
0.500 0.500 0.000



Entry 12:
TaSi, optimized geometry, DFT GGA-PBE; space-group type = P4/nmm
1.0
3.409 0.000 0.000
0.000 3.409 0.000
0.000 0.000 5.822
Ta Si
2 2
direct
0.250 0.250 0.145
0.750 0.750 0.855
0.250 0.750 0.500
0.750 0.250 0.500



| no. | density of states at the Fermi level (states/eV per cell) | E_tot (eV/atom) |
| --- | --- | --- |
| 1 | 2.089 | -2.1519 |
| 2 | 9.156 | -5.1964 |
| 3 | 4.642 | -2.8670 |
| 4 | 8.415 | -5.4134 |
| 5 | 0.000 | -5.5369 |
| 6 | 6.807 | -6.2316 |
| 7 | 6.032 | -9.4009 |
| 8 | 2.736 | -3.2242 |
| 9 | 5.919 | -3.9368 |
| 10 | 3.430 | -3.3867 |
| 11 | 7.764 | -2.3261 |
| 12 | 2.994 | -8.6538 |